The following is a DFT calculation (PBE) of LiTiAl after structural relaxation.

Calculated values
Crystal system = monoclinic
Formation energy from the elements = -2 kJ/mol of atoms
Space-group type = No. 10
Calculated density = 2.77 g/cm3
Energy above the most stable polymorph in this dataset = 0.192 eV/atom

Unit cell a=8.064 b=4.540 c=2.678 alpha=90.00 beta=92.78 gamma=90.00
Element x y z (fractional)
Li1 0.000 0.500 0.000
Li2 0.500 0.000 0.000
Al1 0.821 0.000 0.323
Al2 0.179 0.000 0.677
Ti1 0.655 0.500 0.753
Ti2 0.345 0.500 0.247